(1)
Density functional theory data (PBE-GGA) for crystalline BaSrLa2H at its relaxed geometry.

abc: 6.9168 4.2149 6.9168
angles: 90.00 90.00 90.00
With the nearest neighbours (Å) after each atom.
Fractional positions:
Sr1 0.0000 0.0000 0.0000  2 H 2.11
Ba1 0.5000 0.5000 0.5000  8 La 4.05, 2 Ba 4.21
H1 0.0000 0.5000 0.0000  2 Sr 2.11
La1 0.0000 0.0000 0.5000  2 Sr 3.46
La2 0.5000 0.0000 0.0000  2 Sr 3.46

## Properties
Offset from the most stable computed form = 611 meV per atom
ρ = 4148 kg/m3

(2)
Density functional theory data (PBE-GGA) for crystalline BaLaTcH2 at its relaxed geometry.

abc: 4.4250 7.5506 4.4250
angles: 90.00 90.00 90.00
With the nearest neighbours (Å) after each atom.
Fractional positions:
Tc1 0.5000 0.5000 0.5000  4 Ba 3.13
H1 0.0000 0.0000 0.5000  2 La 2.21
H2 0.5000 0.0000 0.0000  2 La 2.21
Ba1 0.0000 0.5000 0.0000  4 Tc 3.13
La1 0.0000 0.0000 0.0000  4 H 2.21

## Properties
E = -3.8806 eV/atom
ρ = 4226 kg/m3

(3)
Density functional theory data (PBE-GGA) for crystalline Ba2LaTlH at its relaxed geometry.

abc: 5.4317 5.4317 5.4721
angles: 90.00 90.00 90.00
With the nearest neighbours (Å) after each atom.
Fractional positions:
H1 0.0000 0.0000 0.0000  4 Ba 2.72, 2 La 2.74
Tl1 0.5000 0.5000 0.5000  4 La 3.84, 8 Ba 3.86
Ba1 0.0000 0.5000 0.0000  2 H 2.72
Ba2 0.5000 0.0000 0.0000  2 H 2.72
La1 0.0000 0.0000 0.5000  2 H 2.74

## Properties
E = -3.0782 eV/atom
ρ = 6366 kg/m3

(4)
Density functional theory data (PBE-GGA) for crystalline BaLa2TlH at its relaxed geometry.

abc: 5.2539 5.2539 5.3109
angles: 90.00 90.00 90.00
With the nearest neighbours (Å) after each atom.
Fractional positions:
H1 0.0000 0.0000 0.0000  4 La 2.63, 2 Ba 2.66
Tl1 0.5000 0.5000 0.5000  4 Ba 3.72, 8 La 3.74
Ba1 0.0000 0.0000 0.5000  2 H 2.66
La1 0.0000 0.5000 0.0000  2 H 2.63
La2 0.5000 0.0000 0.0000  2 H 2.63

## Properties
E = -3.7019 eV/atom
ρ = 7029 kg/m3

(5)
Density functional theory data (PBE-GGA) for crystalline BaLaHW2 at its relaxed geometry.

abc: 4.1624 5.6283 4.1624
angles: 90.00 90.00 90.00
With the nearest neighbours (Å) after each atom.
Fractional positions:
H1 0.0000 0.0000 0.0000  4 W 2.08
Ba1 0.5000 0.5000 0.5000  4 La 2.94
W1 0.0000 0.0000 0.5000  2 H 2.08
W2 0.5000 0.0000 0.0000  2 H 2.08
La1 0.0000 0.5000 0.0000  2 H 2.81, 4 Ba 2.94

## Properties
E = -6.2528 eV/atom
ρ = 10982 kg/m3

(6)
Density functional theory data (PBE-GGA) for crystalline BaLa2YH at its relaxed geometry.

abc: 5.3255 5.3255 5.5344
angles: 90.00 90.00 90.00
With the nearest neighbours (Å) after each atom.
Fractional positions:
Y1 0.5000 0.5000 0.5000  4 Ba 3.77, 8 La 3.84
H1 0.0000 0.0000 0.0000  4 La 2.66, 2 Ba 2.77
Ba1 0.0000 0.0000 0.5000  2 H 2.77
La1 0.0000 0.5000 0.0000  2 H 2.66
La2 0.5000 0.0000 0.0000  2 H 2.66

## Properties
Offset from the most stable computed form = 0 meV per atom
ρ = 5343 kg/m3

(7)
Density functional theory data (PBE-GGA) for crystalline BaLa2YH at its relaxed geometry.

abc: 5.3800 5.3800 5.2933
angles: 90.00 90.00 90.00
With the nearest neighbours (Å) after each atom.
Fractional positions:
Y1 0.0000 0.0000 0.5000  2 H 2.65
H1 0.0000 0.0000 0.0000  2 Y 2.65, 4 La 2.69
Ba1 0.5000 0.5000 0.5000  8 La 3.77, 4 Y 3.80
La1 0.0000 0.5000 0.0000  2 H 2.69
La2 0.5000 0.0000 0.0000  2 H 2.69

## Properties
Offset from the most stable computed form = 5 meV per atom
ρ = 5474 kg/m3

(8)
Density functional theory data (PBE-GGA) for crystalline BaLiH2 at its relaxed geometry.

abc: 4.9992 4.9992 6.6211
angles: 67.82 67.82 90.00
With the nearest neighbours (Å) after each atom.
Fractional positions:
H1 0.4942 0.1250 0.2500  2 Li 1.97
H2 0.2558 0.6250 0.2500  2 Li 1.97
H3 0.3750 0.5058 0.7500  2 Li 1.97
H4 0.8750 0.7442 0.7500  2 Li 1.97
Ba1 0.0000 0.0000 0.0000  4 H 2.67
Ba2 0.7500 0.2500 0.5000  4 H 2.67
Li1 0.5000 0.5000 0.0000  4 H 1.97
Li2 0.2500 0.7500 0.5000  4 H 1.97

## Properties
Offset from the most stable computed form = 216 meV per atom
ρ = 3472 kg/m3

(9)
Density functional theory data (PBE-GGA) for crystalline BaLiH2 at its relaxed geometry.

abc: 3.4701 3.4701 7.1914
angles: 90.00 90.00 90.00
With the nearest neighbours (Å) after each atom.
Fractional positions:
H1 0.0000 0.0000 0.6629  1 H 2.34
H2 0.0000 0.0000 0.3371  1 H 2.34
Ba1 0.5000 0.5000 0.5000  8 H 2.72
Li1 0.5000 0.5000 0.0000  8 H 3.45, 4 Li 3.47, 2 Ba 3.60

## Properties
Offset from the most stable computed form = 442 meV per atom
ρ = 2805 kg/m3

(10)
Density functional theory data (PBE-GGA) for crystalline BaLi2H at its relaxed geometry.

abc: 5.3671 5.3671 5.3671
angles: 60.00 60.00 60.00
With the nearest neighbours (Å) after each atom.
Fractional positions:
H1 0.0000 0.0000 0.0000  8 Li 3.29
Ba1 0.5000 0.5000 0.5000  8 Li 3.29
Li1 0.2500 0.2500 0.2500  4 Ba 3.29, 4 H 3.29
Li2 0.7500 0.7500 0.7500  4 H 3.29, 4 Ba 3.29

## Properties
Offset from the most stable computed form = 551 meV per atom
ρ = 2312 kg/m3

(11)
Density functional theory data (PBE-GGA) for crystalline Ba4LiH2 at its relaxed geometry.

abc: 6.1464 6.1464 8.6374
angles: 69.16 69.16 90.00
With the nearest neighbours (Å) after each atom.
Fractional positions:
H1 0.5767 0.5767 0.8465  1 H 2.29, 1 Ba 2.51
H2 0.4233 0.4233 0.1535  1 H 2.29, 1 Ba 2.51
Ba1 0.7450 0.7450 0.5101  1 H 2.51
Ba2 0.2550 0.2550 0.4899  1 H 2.51
Ba3 0.0000 0.5000 0.0000  2 Li 3.07, 4 H 3.28
Ba4 0.5000 0.0000 0.0000  2 Li 3.07, 4 H 3.28
Li1 0.0000 0.0000 0.0000  4 Ba 3.07

## Properties
E = -2.2453 eV/atom
ρ = 3287 kg/m3

(12)
Density functional theory data (PBE-GGA) for crystalline BaLiH2 at its relaxed geometry.

abc: 4.6328 4.6328 4.6328
angles: 60.00 60.00 60.00
With the nearest neighbours (Å) after each atom.
Fractional positions:
H1 0.2500 0.2500 0.2500  4 Ba 2.84, 4 Li 2.84
H2 0.7500 0.7500 0.7500  4 Li 2.84, 4 Ba 2.84
Ba1 0.5000 0.5000 0.5000  8 H 2.84
Li1 0.0000 0.0000 0.0000  8 H 2.84

## Properties
Offset from the most stable computed form = 257 meV per atom
ρ = 3455 kg/m3

(13)
Density functional theory data (PBE-GGA) for crystalline BaLiH2 at its relaxed geometry.

abc: 5.6630 8.3064 5.7411
angles: 90.00 90.00 90.00
With the nearest neighbours (Å) after each atom.
Fractional positions:
Ba1 0.0057 0.7500 0.2499  8 H 2.83-2.89
Ba2 0.5057 0.2500 0.7501  8 H 2.83-2.89
Ba3 0.5057 0.7500 0.7500  8 H 2.83-2.89
Ba4 0.0057 0.2500 0.2500  8 H 2.83-2.89
Li1 0.0058 0.5000 0.7728  4 H 1.92-2.08
Li2 0.5058 0.0000 0.2728  4 H 1.92-2.08
Li3 0.0058 0.0000 0.7272  4 H 1.92-2.08
Li4 0.5058 0.5000 0.2272  4 H 1.92-2.08
H1 0.5058 0.2500 0.2501  2 Li 2.08
H2 0.5058 0.7500 0.2499  2 Li 2.08
H3 0.0058 0.7500 0.7499  2 Li 2.08
H4 0.0058 0.2500 0.7501  2 Li 2.08
H5 0.7557 0.5000 0.9999  2 Li 1.92-1.93
H6 0.2557 0.5000 0.0001  2 Li 1.92-1.93
H7 0.2557 0.0000 0.4999  2 Li 1.92-1.93
H8 0.7557 0.0000 0.5001  2 Li 1.92-1.93

## Properties
Offset from the most stable computed form = 0 meV per atom
ρ = 3598 kg/m3

(14)
Density functional theory data (PBE-GGA) for crystalline Ba2Li4H at its relaxed geometry.

abc: 4.1008 4.1008 12.6920
angles: 80.70 80.70 90.00
With the nearest neighbours (Å) after each atom.
Fractional positions:
H1 0.0000 0.0000 0.0000  6 Li 1.95-2.05
Ba1 0.6762 0.6762 0.6476  4 Li 3.77, 4 Ba 4.10
Ba2 0.3238 0.3238 0.3524  4 Li 3.77, 4 Ba 4.10
Li1 0.9211 0.9211 0.1578  1 H 1.95
Li2 0.0789 0.0789 0.8422  1 H 1.95
Li3 0.0000 0.5000 0.0000  2 H 2.05
Li4 0.5000 0.0000 0.0000  2 H 2.05

## Properties
E = -2.1127 eV/atom
ρ = 2425 kg/m3

(15)
Density functional theory data (PBE-GGA) for crystalline BaLiH2 at its relaxed geometry.

abc: 3.9940 5.7502 5.7502
angles: 90.00 90.00 90.00
With the nearest neighbours (Å) after each atom.
Fractional positions:
Ba1 0.0000 0.5000 0.5000  8 H 2.85
Ba2 0.0000 0.0000 0.0000  8 H 2.85
Li1 0.5000 0.5000 0.0000  4 H 2.03
Li2 0.5000 0.0000 0.5000  4 H 2.03
H1 0.5000 0.2500 0.7500  2 Li 2.03
H2 0.5000 0.2500 0.2500  2 Li 2.03
H3 0.5000 0.7500 0.7500  2 Li 2.03
H4 0.5000 0.7500 0.2500  2 Li 2.03

## Properties
Offset from the most stable computed form = 17 meV per atom
ρ = 3679 kg/m3

(16)
Density functional theory data (PBE-GGA) for crystalline Ba12Li3H5 at its relaxed geometry.

abc: 16.1126 16.1126 16.1126
angles: 109.47 109.47 109.47
With the nearest neighbours (Å) after each atom.
Fractional positions:
Li1 0.7500 0.3750 0.1250  8 Ba 3.68-3.77
Li2 0.8750 0.7500 0.1250  8 Ba 3.68-3.77
Li3 0.3750 0.7500 0.6250  8 Ba 3.68-3.77
Li4 0.2500 0.1250 0.3750  8 Ba 3.68-3.77
Li5 0.8750 0.1250 0.2500  8 Ba 3.68-3.77
Li6 0.3750 0.6250 0.2500  8 Ba 3.68-3.77
Li7 0.6250 0.3750 0.7500  8 Ba 3.68-3.77
Li8 0.1250 0.8750 0.7500  8 Ba 3.68-3.77
Li9 0.7500 0.8750 0.6250  8 Ba 3.68-3.77
Li10 0.6250 0.2500 0.3750  8 Ba 3.68-3.77
Li11 0.1250 0.2500 0.8750  8 Ba 3.68-3.77
Li12 0.2500 0.6250 0.8750  8 Ba 3.68-3.77
H1 0.1250 0.3750 0.2500  4 Ba 2.62
H2 0.0000 0.5000 0.0000  6 Ba 3.09
H3 0.0000 0.0000 0.0000  6 Ba 3.09
H4 0.3750 0.2500 0.1250  4 Ba 2.62
H5 0.5000 0.0000 0.5000  6 Ba 3.09
H6 0.5000 0.5000 0.0000  6 Ba 3.09
H7 0.1250 0.7500 0.3750  4 Ba 2.62
H8 0.7500 0.1250 0.8750  4 Ba 2.62
H9 0.7500 0.6250 0.3750  4 Ba 2.62
H10 0.3750 0.1250 0.7500  4 Ba 2.62
H11 0.6250 0.8750 0.2500  4 Ba 2.62
H12 0.5000 0.5000 0.5000  6 Ba 3.09
H13 0.5000 0.0000 0.0000  6 Ba 3.09
H14 0.0000 0.0000 0.5000  6 Ba 3.09
H15 0.2500 0.3750 0.6250  4 Ba 2.62
H16 0.2500 0.8750 0.1250  4 Ba 2.62
H17 0.0000 0.5000 0.5000  6 Ba 3.09
H18 0.8750 0.2500 0.6250  4 Ba 2.62
H19 0.6250 0.7500 0.8750  4 Ba 2.62
H20 0.8750 0.6250 0.7500  4 Ba 2.62
Ba1 0.7054 0.1138 0.0146  1 H 2.62
Ba2 0.3092 0.5146 0.4008  1 H 2.62
Ba3 0.9854 0.3862 0.2946  1 H 2.62
Ba4 0.5146 0.2054 0.1138  1 H 2.62
Ba5 0.5916 0.7054 0.6908  1 H 2.62
Ba6 0.9854 0.5992 0.1908  1 H 2.62
Ba7 0.3092 0.7946 0.4084  1 H 2.62
Ba8 0.0992 0.9084 0.1138  1 H 2.62
Ba9 0.5992 0.9854 0.6908  1 H 2.62
Ba10 0.7054 0.5916 0.1908  1 H 2.62
Ba11 0.7946 0.4854 0.3862  1 H 2.62
Ba12 0.8092 0.9008 0.0146  1 H 2.62
Ba13 0.1138 0.7054 0.5146  1 H 2.62
Ba14 0.3862 0.4008 0.0916  1 H 2.62
Ba15 0.0916 0.9008 0.3862  1 H 2.62
Ba16 0.4084 0.1138 0.5992  1 H 2.62
Ba17 0.0916 0.1908 0.2054  1 H 2.62
Ba18 0.4854 0.6908 0.0992  1 H 2.62
Ba19 0.8092 0.9084 0.2946  1 H 2.62
Ba20 0.1138 0.4084 0.0992  1 H 2.62
Ba21 0.3862 0.9854 0.7946  1 H 2.62
Ba22 0.5992 0.6138 0.4084  1 H 2.62
Ba23 0.9008 0.8092 0.5146  1 H 2.62
Ba24 0.7946 0.3092 0.9084  1 H 2.62
Ba25 0.4008 0.3862 0.5916  1 H 2.62
Ba26 0.0992 0.1908 0.4854  1 H 2.62
Ba27 0.2054 0.6908 0.0916  1 H 2.62
Ba28 0.1908 0.0916 0.7054  1 H 2.62
Ba29 0.6138 0.0146 0.2054  1 H 2.62
Ba30 0.8862 0.5916 0.9008  1 H 2.62
Ba31 0.5146 0.3092 0.9008  1 H 2.62
Ba32 0.5916 0.8862 0.4008  1 H 2.62
Ba33 0.9084 0.8092 0.7946  1 H 2.62
Ba34 0.9084 0.0992 0.6138  1 H 2.62
Ba35 0.8862 0.2946 0.4854  1 H 2.62
Ba36 0.1908 0.0992 0.9854  1 H 2.62
Ba37 0.6138 0.5992 0.9084  1 H 2.62
Ba38 0.4008 0.0146 0.3092  1 H 2.62
Ba39 0.2946 0.4084 0.8092  1 H 2.62
Ba40 0.2054 0.5146 0.6138  1 H 2.62
Ba41 0.9008 0.0916 0.8862  1 H 2.62
Ba42 0.6908 0.2054 0.5916  1 H 2.62
Ba43 0.4854 0.7946 0.8862  1 H 2.62
Ba44 0.0146 0.4008 0.8092  1 H 2.62
Ba45 0.4084 0.2946 0.3092  1 H 2.62
Ba46 0.0146 0.6138 0.7054  1 H 2.62
Ba47 0.6908 0.4854 0.5992  1 H 2.62
Ba48 0.2946 0.8862 0.9854  1 H 2.62

## Properties
E = -2.3998 eV/atom
ρ = 3453 kg/m3

(17)
Density functional theory data (PBE-GGA) for crystalline Ba4Li2H at its relaxed geometry.

abc: 5.5342 5.5342 10.5288
angles: 74.76 74.76 90.00
With the nearest neighbours (Å) after each atom.
Fractional positions:
H1 0.0000 0.0000 0.0000  4 Ba 2.77
Ba1 0.8208 0.8208 0.3584  1 H 3.50, 1 Li 3.76
Ba2 0.1792 0.1792 0.6416  1 H 3.50, 1 Li 3.76
Ba3 0.0000 0.5000 0.0000  2 H 2.77
Ba4 0.5000 0.0000 0.0000  2 H 2.77
Li1 0.6286 0.6286 0.7427  9 Ba 3.74-4.04
Li2 0.3714 0.3714 0.2573  9 Ba 3.74-4.04

## Properties
E = -2.1558 eV/atom
ρ = 3129 kg/m3

(18)
Density functional theory data (PBE-GGA) for crystalline BaLi3H at its relaxed geometry.

abc: 5.0166 5.0166 5.0166
angles: 90.00 90.00 90.00
With the nearest neighbours (Å) after each atom.
Fractional positions:
H1 0.0000 0.0000 0.0000  6 Li 2.51
Ba1 0.5000 0.5000 0.5000  12 Li 3.55
Li1 0.0000 0.5000 0.0000  2 H 2.51
Li2 0.0000 0.0000 0.5000  2 H 2.51
Li3 0.5000 0.0000 0.0000  2 H 2.51

## Properties
E = -1.9414 eV/atom
ρ = 2093 kg/m3

(19)
Density functional theory data (PBE-GGA) for crystalline Ba3LiH6 at its relaxed geometry.

abc: 7.4505 7.4505 7.4505
angles: 97.61 97.61 97.61
With the nearest neighbours (Å) after each atom.
Fractional positions:
Ba1 0.4039 0.8914 0.7216  6 H 2.62-2.86
Ba2 0.8914 0.7216 0.4039  6 H 2.62-2.86
Ba3 0.2784 0.5961 0.1086  6 H 2.62-2.86
Ba4 0.7216 0.4039 0.8914  6 H 2.62-2.86
Ba5 0.1086 0.2784 0.5961  6 H 2.62-2.86
Ba6 0.5961 0.1086 0.2784  6 H 2.62-2.86
Li1 0.0000 0.0000 0.0000  6 H 2.34
Li2 0.5000 0.5000 0.5000  6 H 2.18
H1 0.3011 0.9372 0.0525  1 Li 2.34, 1 Ba 2.62
H2 0.0628 0.9475 0.6989  1 Li 2.34, 1 Ba 2.62
H3 0.5525 0.7736 0.4274  1 Li 2.18
H4 0.9475 0.6989 0.0628  1 Li 2.34, 1 Ba 2.62
H5 0.4274 0.5525 0.7736  1 Li 2.18
H6 0.2264 0.5726 0.4475  1 Li 2.18
H7 0.7736 0.4274 0.5525  1 Li 2.18
H8 0.5726 0.4475 0.2264  1 Li 2.18
H9 0.0525 0.3011 0.9372  1 Li 2.34, 1 Ba 2.62
H10 0.4475 0.2264 0.5726  1 Li 2.18
H11 0.9372 0.0525 0.3011  1 Li 2.34, 1 Ba 2.62
H12 0.6989 0.0628 0.9475  1 Li 2.34, 1 Ba 2.62

## Properties
E = -3.1336 eV/atom
ρ = 3515 kg/m3

(20)
Density functional theory data (PBE-GGA) for crystalline BaLiH2 at its relaxed geometry.

abc: 3.7724 3.7724 5.8921
angles: 71.33 71.33 60.00
With the nearest neighbours (Å) after each atom.
Fractional positions:
H1 0.7714 0.7714 0.6858  3 Li 2.40
H2 0.2286 0.2286 0.3142  3 Li 2.40
Ba1 0.0000 0.0000 0.0000  6 H 2.78
Li1 0.5000 0.5000 0.5000  6 H 2.40

## Properties
Offset from the most stable computed form = 233 meV per atom
ρ = 3600 kg/m3